1.
VASP calculation (GGA-PBE) on a relaxed structure of LiNd4In5.

Unit cell a=3.6190 b=3.6190 c=20.6987 alpha=90.00 beta=90.00 gamma=90.00
Atoms (fractional coordinates):
In 0.5000 0.5000 0.7126
In 0.5000 0.5000 0.9250
In 0.5000 0.5000 0.5000
In 0.5000 0.5000 0.0750
In 0.5000 0.5000 0.2874
Nd 0.0000 0.0000 0.8190
Nd 0.0000 0.0000 0.1810
Nd 0.0000 0.0000 0.6064
Nd 0.0000 0.0000 0.3936
Li 0.0000 0.0000 0.0000

- ρ: 7.1 g cm⁻³
- Magnetic moment: 0.0 μB/f.u.

2.
VASP calculation (GGA-PBE) on a relaxed structure of Li6NdIn6.

Unit cell a=5.7336 b=7.4307 c=7.4307 alpha=82.00 beta=67.31 gamma=67.31
Atoms (fractional coordinates):
Li 0.0000 0.5000 0.0000
Li 0.5000 0.0000 0.5000
Li 0.5000 0.7709 0.2291
Li 0.5000 0.5000 0.0000
Li 0.0000 0.0000 0.5000
Li 0.5000 0.2291 0.7709
In 0.0000 0.3415 0.6585
In 0.2988 0.2012 0.2012
In 0.6540 0.3460 0.3460
In 0.0000 0.6585 0.3415
In 0.3460 0.6540 0.6540
In 0.7012 0.7988 0.7988
Nd 0.0000 0.0000 0.0000

- ρ: 5.4 g cm⁻³
- Magnetic moment: 0.0 μB/f.u.

3.
VASP calculation (GGA-PBE) on a relaxed structure of LiNd6In2.

Unit cell a=4.6014 b=8.4346 c=8.4399 alpha=119.98 beta=90.00 gamma=90.00
Atoms (fractional coordinates):
Li 0.5000 0.9998 0.0000
In 0.0000 0.6666 0.3331
In 0.0000 0.3334 0.6669
Nd 0.0000 0.7415 0.7412
Nd 0.5000 0.0000 0.5821
Nd 0.5000 0.4179 0.4179
Nd 0.0000 0.0003 0.2588
Nd 0.5000 0.5822 0.0000
Nd 0.0000 0.2584 0.0000

- ρ: 6.4 g cm⁻³
- Magnetic moment: 0.0 μB/f.u.

4.
VASP calculation (GGA-PBE) on a relaxed structure of Li2Nd3In3.

Unit cell a=4.7140 b=4.9832 c=9.2283 alpha=105.77 beta=104.80 gamma=90.00
Atoms (fractional coordinates):
Nd 0.8575 0.3574 0.7150
Nd 0.0000 0.0000 0.0000
Nd 0.1425 0.6426 0.2850
In 0.5000 0.5000 0.0000
In 0.6500 0.1502 0.2999
In 0.3500 0.8498 0.7001
Li 0.7577 0.7572 0.5154
Li 0.2423 0.2428 0.4846

- ρ: 6.5 g cm⁻³
- Magnetic moment: 0.0 μB/f.u.

5.
VASP calculation (GGA-PBE) on a relaxed structure of Li2Nd2In.

Unit cell a=6.6903 b=6.4256 c=8.4062 alpha=61.51 beta=66.55 gamma=58.63
Atoms (fractional coordinates):
Li 0.0634 0.1966 0.9412
Li 0.9366 0.8034 0.0588
Li 0.2012 0.3034 0.5588
Li 0.7988 0.6966 0.4412
Nd 0.7731 0.2672 0.3442
Nd 0.2269 0.7328 0.6558
Nd 0.6155 0.7672 0.8442
Nd 0.3845 0.2328 0.1558
In 0.2455 0.7500 0.2500
In 0.7545 0.2500 0.7500

- ρ: 5.2 g cm⁻³
- Magnetic moment: 0.0 μB/f.u.

6.
VASP calculation (GGA-PBE) on a relaxed structure of LiNd2In8.

Unit cell a=4.7410 b=4.7410 c=12.4410 alpha=90.00 beta=90.00 gamma=90.00
Atoms (fractional coordinates):
In 0.5000 0.5000 0.3095
In 0.5000 0.0000 0.1251
In 0.0000 0.5000 0.1251
In 0.5000 0.0000 0.5000
In 0.5000 0.0000 0.8749
In 0.5000 0.5000 0.6905
In 0.0000 0.5000 0.8749
In 0.0000 0.5000 0.5000
Nd 0.0000 0.0000 0.3114
Nd 0.0000 0.0000 0.6886
Li 0.0000 0.0000 0.0000

- ρ: 7.2 g cm⁻³
- Magnetic moment: 0.0 μB/f.u.

7.
VASP calculation (GGA-PBE) on a relaxed structure of Li8NdIn3.

Unit cell a=5.4309 b=5.4309 c=9.2816 alpha=90.00 beta=90.00 gamma=120.00
Atoms (fractional coordinates):
Li 0.5044 0.4956 0.7670
Li 0.1610 0.8390 0.2371
Li 0.5044 0.0087 0.7670
Li 0.3333 0.6667 0.9984
Li 0.6779 0.8390 0.2371
Li 0.3333 0.6667 0.4841
Li 0.1610 0.3221 0.2371
Li 0.9913 0.4956 0.7670
In 0.0000 0.0000 0.9354
In 0.6667 0.3333 0.4328
In 0.6667 0.3333 0.0675
Nd 0.0000 0.0000 0.5694

- ρ: 3.8 g cm⁻³
- Magnetic moment: 0.0 μB/f.u.

8.
VASP calculation (GGA-PBE) on a relaxed structure of Li4NdIn.

Unit cell a=5.5892 b=5.5892 c=5.5892 alpha=60.00 beta=60.00 gamma=60.00
Atoms (fractional coordinates):
In 0.0000 0.0000 0.0000
Li 0.6264 0.1209 0.6264
Li 0.1209 0.6264 0.6264
Li 0.6264 0.6264 0.6264
Li 0.6264 0.6264 0.1209
Nd 0.2500 0.2500 0.2500

- ρ: 3.9 g cm⁻³
- Magnetic moment: 0.0 μB/f.u.

Record order is preserved below.
Total DFT energy (no corrections): -3.925; -2.831; -4.137; -3.668; -3.371; -3.409; -2.512; -2.678 eV/atom
Record order is preserved below.
N(E_F): 0.621; 0.317; 1.210; 0.475; 0.926; 0.297; 0.188; 0.414 states/eV/atom
Record order is preserved below.
ΔE_f: -0.4575; -0.3166; -0.1376; -0.3749; -0.1505; -0.3761; -0.1546; -0.1513 eV per atom